## MnWF3 (PBE+U)

Data for crystalline MnWF3 at its relaxed geometry.

Unit cell a=4.2519 b=4.2519 c=4.2519 alpha=90.00 beta=90.00 gamma=90.00
Sites, in units of the cell vectors:
Mn: 0.0000 0.0000 0.0000
W: 0.5000 0.5000 0.5000
F: 0.0000 0.5000 0.0000
F: 0.0000 0.0000 0.5000
F: 0.5000 0.0000 0.0000

Properties
- SG = Pm-3m
- E above lowest polymorph (eV per atom) = 0.115